1.
This record from Alexandria describes AcLaTb2Hg4 after structural relaxation. The functional is PBE.

* formation energy from the elements: -452.7 meV/atom
* crystal system: trigonal
* magnetization: 1.2 μB per formula unit

Unit cell a=9.532 b=9.532 c=9.532 alpha=33.26 beta=33.26 gamma=33.26
Element x y z (fractional)
Ac: 0.000 0.000 0.000
La: 0.500 0.500 0.500
Tb: 0.248 0.248 0.248
Tb: 0.752 0.752 0.752
Hg: 0.127 0.127 0.127
Hg: 0.378 0.378 0.378
Hg: 0.622 0.622 0.622
Hg: 0.873 0.873 0.873

=====

2.
This record from Alexandria describes Sc5Tl2Pb after structural relaxation. The functional is PBE.

* formation energy from the elements: -286.5 meV/atom
* crystal system: orthorhombic
* magnetization: 0.0 μB per formula unit

Unit cell a=6.407 b=12.415 c=4.848 alpha=90.00 beta=90.00 gamma=90.00
Element x y z (fractional)
Sc: 0.000 0.000 0.000
Sc: 0.148 0.390 0.500
Sc: 0.154 0.734 0.000
Sc: 0.346 0.234 0.000
Sc: 0.352 0.890 0.500
Sc: 0.500 0.500 0.000
Sc: 0.648 0.110 0.500
Sc: 0.654 0.766 0.000
Sc: 0.846 0.266 0.000
Sc: 0.852 0.610 0.500
Tl: 0.103 0.150 0.500
Tl: 0.397 0.650 0.500
Tl: 0.603 0.350 0.500
Tl: 0.897 0.850 0.500
Pb: 0.000 0.500 0.000
Pb: 0.500 0.000 0.000

=====

3.
This record from Alexandria describes Tc2RhBr after structural relaxation. The functional is PBE.

* crystal system: orthorhombic
* excess energy over the best structure of this formula in the dataset: 418 meV per atom
* formation energy from raw total energies: 0.837 eV per atom
* magnetization: 0.0 μB per formula unit

Unit cell a=2.900 b=4.544 c=4.756 alpha=90.00 beta=90.00 gamma=90.00
Element x y z (fractional)
Tc: 0.000 0.000 0.000
Tc: 0.500 0.500 0.000
Rh: 0.000 0.500 0.500
Br: 0.500 0.000 0.500

=====

4.
This record from Alexandria describes CePuAgBi after structural relaxation. The functional is PBE.

* formation energy from the elements: -268.4 meV/atom
* crystal system: cubic
* magnetization: 8.0 μB per formula unit

Unit cell a=5.406 b=5.406 c=5.406 alpha=60.00 beta=60.00 gamma=60.00
Element x y z (fractional)
Ce: 0.000 0.000 0.000
Pu: 0.500 0.500 0.500
Ag: 0.750 0.750 0.750
Bi: 0.250 0.250 0.250

=====

5.
This record from Alexandria describes ZrP2Ru after structural relaxation. The functional is PBE.

* formation energy from the elements: -498.3 meV/atom
* crystal system: cubic
* excess energy over the best structure of this formula in the dataset: 324 meV per atom
* magnetization: 0.0 μB per formula unit

Unit cell a=4.398 b=4.398 c=4.398 alpha=60.00 beta=60.00 gamma=60.00
Element x y z (fractional)
Zr: 0.000 0.000 0.000
P: 0.250 0.250 0.250
P: 0.750 0.750 0.750
Ru: 0.500 0.500 0.500

=====

6.
This record from Alexandria describes EuMgCd after structural relaxation. The functional is PBE.

* formation energy from the elements: -218.2 meV/atom
* crystal system: hexagonal
* magnetization: 7.3 μB per formula unit

Unit cell a=5.200 b=5.200 c=3.589 alpha=90.00 beta=90.00 gamma=120.00
Element x y z (fractional)
Eu: 0.000 0.000 0.000
Mg: 0.333 0.667 0.500
Cd: 0.667 0.333 0.500

=====

7.
This record from Alexandria describes PdRuPt6 after structural relaxation. The functional is PBE.

* formation energy from the elements: -16.2 meV/atom
* crystal system: tetragonal
* magnetization: 0.0 μB per formula unit

Unit cell a=3.955 b=3.955 c=7.860 alpha=90.00 beta=90.00 gamma=90.00
Element x y z (fractional)
Pd: 0.000 0.000 0.000
Ru: 0.000 0.000 0.500
Pt: 0.000 0.500 0.256
Pt: 0.000 0.500 0.744
Pt: 0.500 0.000 0.256
Pt: 0.500 0.000 0.744
Pt: 0.500 0.500 0.000
Pt: 0.500 0.500 0.500

=====

8.
This record from Alexandria describes Ce2Cd2Pb after structural relaxation. The functional is PBE.

* formation energy from the elements: -93.9 meV/atom
* crystal system: tetragonal
* excess energy over the best structure of this formula in the dataset: 83 meV per atom
* magnetization: 2.4 μB per formula unit

Unit cell a=8.648 b=8.648 c=8.648 alpha=151.48 beta=151.48 gamma=40.78
Element x y z (fractional)
Ce: 0.085 0.085 0.000
Ce: 0.915 0.915 0.000
Cd: 0.250 0.750 0.500
Cd: 0.750 0.250 0.500
Pb: 0.500 0.500 0.000

=====

Q: Which value of magnetization does entry 3 give?
A: 0.0 μB per formula unit

=====

Q: What is the formula in the eighth record?
A: Ce2Cd2Pb

=====

Q: Which value of magnetization does entry 4 give?
A: 8.0 μB per formula unit